First-principles (PBE) data for Cd3W after structural relaxation, as listed in Alexandria.

Cell lengths 5.527, 5.527, 5.527 Å; angles 90.00, 90.00, 90.00 degrees
Sites, in units of the cell vectors:
1 Cd 0.000 0.000 0.500
2 Cd 0.000 0.500 0.000
3 Cd 0.500 0.000 0.000
4 W 0.000 0.000 0.000

Summary:
As for the symmetry: Pm-3m, No. 221. As for the density of states at the Fermi level: 0.712 states/eV per atom. For the formation energy, the calculation gives 1.404 eV/atom.


First-principles (PBE) data for NpPaFeNi after structural relaxation, as listed in Alexandria.

Cell lengths 4.493, 4.493, 4.493 Å; angles 60.00, 60.00, 60.00 degrees
Sites, in units of the cell vectors:
1 Np 0.000 0.000 0.000
2 Pa 0.250 0.250 0.250
3 Fe 0.500 0.500 0.500
4 Ni 0.750 0.750 0.750

Summary:
As for the symmetry: F-43m, No. 216. As for the density of states at the Fermi level: 1.399 states/eV per atom. For the formation energy, the calculation gives -0.139 eV/atom.


First-principles (PBE) data for HgMo4Cl7 after structural relaxation, as listed in Alexandria.

Cell lengths 5.916, 7.147, 18.550 Å; angles 99.34, 94.12, 91.32 degrees
Sites, in units of the cell vectors:
1 Hg 0.000 0.000 0.000
2 Hg 0.359 0.605 0.523
3 Mo 0.121 0.446 0.764
4 Mo 0.285 0.158 0.757
5 Mo 0.462 0.969 0.261
6 Mo 0.558 0.587 0.209
7 Mo 0.596 0.409 0.809
8 Mo 0.741 0.212 0.716
9 Mo 0.806 0.024 0.314
10 Mo 0.902 0.642 0.262
11 Cl 0.009 0.918 0.208
12 Cl 0.355 0.692 0.315
13 Cl 0.399 0.132 0.633
14 Cl 0.414 0.262 0.205
15 Cl 0.441 0.644 0.739
16 Cl 0.462 0.177 0.885
17 Cl 0.486 0.150 0.389
18 Cl 0.510 0.826 0.134
19 Cl 0.853 0.785 0.388
20 Cl 0.878 0.461 0.134
21 Cl 0.911 0.430 0.644
22 Cl 0.926 0.980 0.779
23 Cl 0.949 0.349 0.317
24 Cl 0.973 0.482 0.884

Summary:
As for the symmetry: P1, No. 1. As for the density of states at the Fermi level: 0.078 states/eV per atom. The uncorrected formation energy comes out at -6.423 eV per formula unit.


no.,total magnetization (μB per cell)
1,3.20
2,2.05
3,0.00